DFT (GGA-PBE) results for a geometry-optimized RbTmSn2I8 structure.

Calculated values
- V (Å³ per cell) = 553
- E_form (uncorrected) (meV per atom) = -905

Cell: 7.7753 7.3103 9.7319 Å, 89.83 89.86 88.61°
Fractional positions:
Rb: 0.0000 0.0000 0.5000
Tm: 0.0000 0.0000 0.0000
Sn: 0.4998 0.4995 0.7517
Sn: 0.5002 0.5005 0.2483
I: 0.1545 0.7496 0.2144
I: 0.6781 0.7658 0.0002
I: 0.8445 0.2495 0.2140
I: 0.8455 0.2504 0.7856
I: 0.3219 0.2342 0.9998
I: 0.1555 0.7505 0.7860
I: 0.6226 0.7294 0.4988
I: 0.3774 0.2706 0.5012


DFT (GGA-PBE) results for a geometry-optimized Sm2EuTm structure.

Calculated values
- V (Å³ per cell) = 136
- energy of formation (meV/atom) = 138.2

Cell: 3.8374 5.9625 5.9625 Å, 90.00 90.00 90.00°
Fractional positions:
Eu: 0.5000 0.5000 0.5000
Tm: 0.5000 0.0000 0.0000
Sm: 0.0000 0.0000 0.5000
Sm: 0.0000 0.5000 0.0000


DFT (GGA-PBE) results for a geometry-optimized Th4Bi2OsN2 structure.

Calculated values
- V (Å³ per cell) = 234
- E_form (uncorrected) (meV per atom) = -977

Cell: 4.1253 7.6631 8.1315 Å, 109.32 104.69 90.00°
Fractional positions:
Th: 0.2045 0.1494 0.4091
Th: 0.7955 0.8506 0.5909
Th: 0.5335 0.7778 0.0670
Th: 0.4665 0.2222 0.9330
Bi: 0.1343 0.5380 0.2686
Bi: 0.8657 0.4620 0.7314
Os: 0.0000 0.0000 0.0000
N: 0.6808 0.9854 0.3616
N: 0.3192 0.0146 0.6384


DFT (GGA-PBE) results for a geometry-optimized KGa2GeSe6 structure.

Calculated values
- V (Å³ per cell) = 629
- E_form (uncorrected) (meV per atom) = -473

Cell: 8.3081 9.4747 9.4747 Å, 85.83 66.98 66.98°
Fractional positions:
K: 0.2500 0.8288 0.1712
K: 0.7500 0.1712 0.8288
Ga: 0.4468 0.7593 0.6085
Ga: 0.0532 0.3915 0.2407
Ga: 0.5532 0.2407 0.3915
Ga: 0.9468 0.6085 0.7593
Ge: 0.2500 0.1626 0.8374
Ge: 0.7500 0.8374 0.1626
Se: 0.1855 0.9335 0.8264
Se: 0.3145 0.1736 0.0665
Se: 0.8145 0.0665 0.1736
Se: 0.6855 0.8264 0.9335
Se: 0.4538 0.8826 0.3736
Se: 0.0462 0.6264 0.1174
Se: 0.5462 0.1174 0.6264
Se: 0.9538 0.3736 0.8826
Se: 0.2087 0.6566 0.5677
Se: 0.2913 0.4323 0.3434
Se: 0.7913 0.3434 0.4323
Se: 0.7087 0.5677 0.6566


DFT (GGA-PBE) results for a geometry-optimized Pr2MgTl3 structure.

Calculated values
- V (Å³ per cell) = 187
- energy of formation (meV/atom) = -128.4

Cell: 5.2200 6.4619 6.9310 Å, 117.79 112.12 90.00°
Fractional positions:
Pr: 0.6790 0.1790 0.3580
Pr: 0.3210 0.8210 0.6420
Mg: 0.0000 0.5000 0.0000
Tl: 0.3531 0.3531 0.7061
Tl: 0.0000 0.0000 0.0000
Tl: 0.6469 0.6469 0.2939


DFT (GGA-PBE) results for a geometry-optimized NdDy2Y2Er2 structure.

Calculated values
- V (Å³ per cell) = 231
- energy of formation (meV/atom) = 238.8

Cell: 3.4277 8.8559 8.8207 Å, 62.02 90.00 101.16°
Fractional positions:
Nd: 0.0000 0.0000 0.5000
Dy: 0.8470 0.6939 0.9238
Dy: 0.1530 0.3061 0.0762
Y: 0.9253 0.8506 0.2146
Y: 0.0747 0.1494 0.7854
Er: 0.2985 0.5969 0.6175
Er: 0.7015 0.4031 0.3825


DFT (GGA-PBE) results for a geometry-optimized SrSi2Se structure.

Calculated values
- V (Å³ per cell) = 96
- E_form (uncorrected) (meV per atom) = -169

Cell: 6.3449 4.1236 4.1238 Å, 89.68 71.15 108.85°
Fractional positions:
Se: 0.5000 0.0000 0.5000
Si: 0.0000 0.0000 0.0000
Si: 0.0000 0.5000 0.5000
Sr: 0.5000 0.5000 0.0000


DFT (GGA-PBE) results for a geometry-optimized KNaPt4 structure.

Calculated values
- V (Å³ per cell) = 115
- energy of formation (meV/atom) = -253.9

Cell: 5.4531 5.4531 5.4531 Å, 60.00 60.00 60.00°
Fractional positions:
Na: 0.0000 0.0000 0.0000
K: 0.2500 0.2500 0.2500
Pt: 0.6252 0.6252 0.1244
Pt: 0.6252 0.1244 0.6252
Pt: 0.6252 0.6252 0.6252
Pt: 0.1244 0.6252 0.6252